(1)
The following is a PBE calculation of Dy3HoPu3Te8 after structural relaxation, from Alexandria via LeMat-Bulk.

Cell lengths 8.766, 8.766, 8.781 Å; angles 120.01, 120.01, 59.87 degrees
Element x y z (fractional)
Dy  0.000  0.000  0.000
Dy  0.000  0.500  0.000
Dy  0.500  0.000  0.000
Ho  0.500  0.500  0.000
Pu  0.000  0.500  0.500
Pu  0.500  0.000  0.500
Pu  0.500  0.500  0.500
Te  0.243  0.752  0.247
Te  0.248  0.248  0.245
Te  0.248  0.248  0.752
Te  0.248  0.757  0.753
Te  0.752  0.243  0.247
Te  0.752  0.752  0.248
Te  0.752  0.752  0.755
Te  0.757  0.248  0.753

SG = C2/m (12)
E_form (uncorrected) = -1261 meV/atom

---

(2)
The following is a PBE calculation of Ba5Sr2CdHg2 after structural relaxation, from Alexandria via LeMat-Bulk.

Cell lengths 14.602, 14.602, 4.391 Å; angles 90.00, 90.00, 90.00 degrees
Element x y z (fractional)
Ba  0.000  0.500  0.000
Ba  0.047  0.198  0.000
Ba  0.198  0.953  0.000
Ba  0.302  0.453  0.000
Ba  0.453  0.698  0.000
Ba  0.500  0.000  0.000
Ba  0.547  0.302  0.000
Ba  0.698  0.547  0.000
Ba  0.802  0.047  0.000
Ba  0.953  0.802  0.000
Sr  0.193  0.693  0.500
Sr  0.307  0.193  0.500
Sr  0.693  0.807  0.500
Sr  0.807  0.307  0.500
Cd  0.000  0.000  0.500
Cd  0.500  0.500  0.500
Hg  0.136  0.364  0.500
Hg  0.364  0.864  0.500
Hg  0.636  0.136  0.500
Hg  0.864  0.636  0.500

Energy of formation from the pure elements = -0.2740 eV per atom
SG = P4/mbm (127)

---

(3)
The following is a PBE calculation of GaSbPb2C after structural relaxation, from Alexandria via LeMat-Bulk.

Cell lengths 6.073, 6.073, 4.115 Å; angles 90.00, 90.00, 90.00 degrees
Element x y z (fractional)
Ga  0.000  0.000  0.000
Sb  0.500  0.500  0.500
Pb  0.000  0.500  0.500
Pb  0.500  0.000  0.500
C  0.500  0.500  0.000

Energy relative to the lowest polymorph listed for this composition = 334 meV/atom
SG = P4/mmm (123)
E_form (uncorrected) = 1218 meV/atom

---

| no. | calculated volume (Å³ per cell) |
| --- | --- |
| 1 | 477 |
| 2 | 936 |
| 3 | 152 |